No. 1
Below is a relaxed structure of MgOsAu, with properties calculated at the PBE level.

Values from the calculation:
- symmetry = Fmm2, No. 42
- DOS at the Fermi energy (states/eV/f.u.) = 2.6
- ΔH_f (0 K) (eV/atom) = 0.275
- calculated total energy (eV/cell) = -15.3

Lattice parameters (Å, degrees): 7.362 7.143 2.776 83.46 74.54 22.00
Positions (direct):
Au (0.995, 0.995, 0.005)
Mg (0.331, 0.331, 0.669)
Os (0.674, 0.674, 0.326)

No. 2
Below is a relaxed structure of Zr2CdMoRu, with properties calculated at the PBE level.

Values from the calculation:
- symmetry = P4/mmm, No. 123
- DOS at the Fermi energy (states/eV/f.u.) = 5.4
- ΔH_f (0 K) (eV/atom) = 0.767
- calculated total energy (eV/cell) = -34.3

Lattice parameters (Å, degrees): 5.073 4.636 5.073 90.00 90.00 90.00
Positions (direct):
Ru (0.000, 0.500, 0.000)
Mo (0.000, 0.000, 0.000)
Zr (0.000, 0.000, 0.500)
Zr (0.500, 0.000, 0.000)
Cd (0.500, 0.500, 0.500)

No. 3
Below is a relaxed structure of LiIrCl2, with properties calculated at the PBE level.

Values from the calculation:
- symmetry = I-4m2, No. 119
- ΔE_f (raw) (meV per atom) = -123.2
- DOS at the Fermi energy (states/eV/f.u.) = 3.4
- calculated total energy (eV/cell) = -15.0

Lattice parameters (Å, degrees): 8.495 8.495 8.495 156.92 156.92 32.87
Positions (direct):
Cl (0.000, 0.000, 0.000)
Cl (0.250, 0.750, 0.500)
Ir (0.500, 0.500, 0.000)
Li (0.750, 0.250, 0.500)

No. 4
Below is a relaxed structure of TcAs2Pt, with properties calculated at the PBE level.

Values from the calculation:
- symmetry = Cmm2, No. 35
- DOS at the Fermi energy (states/eV/f.u.) = 3.8
- ΔH_f (0 K) (eV/atom) = 0.210
- calculated total energy (eV/cell) = -24.9

Lattice parameters (Å, degrees): 2.839 2.839 10.104 90.00 90.00 117.10
Positions (direct):
As (0.000, 0.000, 0.945)
As (0.500, 0.500, 0.299)
Tc (0.500, 0.500, 0.744)
Pt (0.000, 0.000, 0.512)

No. 5
Below is a relaxed structure of LiSmThSn, with properties calculated at the PBE level.

Values from the calculation:
- symmetry = F-43m, No. 216
- DOS at the Fermi energy (states/eV/f.u.) = 3.5
- ΔH_f (0 K) (eV/atom) = -0.259
- calculated total energy (eV/cell) = -19.1

Lattice parameters (Å, degrees): 5.356 5.356 5.356 60.00 60.00 60.00
Positions (direct):
Li (0.750, 0.750, 0.750)
Sm (0.500, 0.500, 0.500)
Th (0.000, 0.000, 0.000)
Sn (0.250, 0.250, 0.250)

No. 6
Below is a relaxed structure of CePm4HoS8, with properties calculated at the PBE level.

Values from the calculation:
- symmetry = R3m, No. 160
- ΔE_f (raw) (meV per atom) = -1906.5
- DOS at the Fermi energy (states/eV/f.u.) = 12.5
- calculated total energy (eV/cell) = -89.2

Lattice parameters (Å, degrees): 8.281 8.281 8.235 59.81 59.81 60.00
Positions (direct):
Ce (0.376, 0.376, 0.871)
Pm (0.624, 0.624, 0.129)
Pm (0.000, 0.500, 0.500)
Pm (0.500, 0.000, 0.500)
Pm (0.000, 0.000, 0.500)
Ho (0.000, 0.000, 0.999)
S (0.235, 0.781, 0.749)
S (0.781, 0.235, 0.749)
S (0.235, 0.235, 0.749)
S (0.241, 0.241, 0.276)
S (0.764, 0.224, 0.249)
S (0.224, 0.764, 0.249)
S (0.764, 0.764, 0.249)
S (0.757, 0.757, 0.730)

No. 7
Below is a relaxed structure of PuCd2Ge2, with properties calculated at the PBE level.

Values from the calculation:
- symmetry = Cmcm, No. 63
- DOS at the Fermi energy (states/eV/f.u.) = 11.2
- ΔH_f (0 K) (eV/atom) = -0.170
- calculated total energy (eV/cell) = -52.5

Lattice parameters (Å, degrees): 4.227 4.197 12.232 90.00 99.95 90.00
Positions (direct):
Pu (0.342, 0.250, 0.684)
Pu (0.658, 0.750, 0.316)
Cd (0.051, 0.750, 0.101)
Cd (0.452, 0.750, 0.905)
Cd (0.949, 0.250, 0.899)
Cd (0.548, 0.250, 0.095)
Ge (0.750, 0.250, 0.501)
Ge (0.250, 0.750, 0.499)
Ge (0.859, 0.750, 0.718)
Ge (0.141, 0.250, 0.282)

No. 8
Below is a relaxed structure of KHgS14, with properties calculated at the PBE level.

Values from the calculation:
- symmetry = C2/c, No. 15
- ΔE_f (raw) (meV per atom) = -5.5
- DOS at the Fermi energy (states/eV/f.u.) = 3.4
- calculated total energy (eV/cell) = -118.5

Lattice parameters (Å, degrees): 5.810 14.854 14.854 96.23 72.49 72.50
Positions (direct):
K (0.250, 0.300, 0.200)
K (0.750, 0.700, 0.800)
Hg (0.500, 0.000, 0.500)
Hg (0.000, 0.000, 0.500)
S (0.665, 0.380, 0.234)
S (0.335, 0.620, 0.766)
S (0.165, 0.734, 0.880)
S (0.835, 0.266, 0.120)
S (0.352, 0.243, 0.428)
S (0.648, 0.757, 0.572)
S (0.852, 0.928, 0.743)
S (0.148, 0.072, 0.257)
S (0.240, 0.044, 0.775)
S (0.760, 0.956, 0.225)
S (0.740, 0.275, 0.544)
S (0.260, 0.725, 0.456)
S (0.800, 0.650, 0.221)
S (0.406, 0.407, 0.835)
S (0.300, 0.721, 0.150)
S (0.906, 0.335, 0.907)
S (0.200, 0.350, 0.779)
S (0.594, 0.593, 0.165)
S (0.700, 0.279, 0.850)
S (0.094, 0.665, 0.093)
S (0.483, 0.037, 0.845)
S (0.901, 0.078, 0.188)
S (0.983, 0.345, 0.537)
S (0.401, 0.688, 0.578)
S (0.517, 0.963, 0.155)
S (0.099, 0.922, 0.812)
S (0.017, 0.655, 0.463)
S (0.599, 0.312, 0.422)

No. 9
Below is a relaxed structure of Li2BeAg, with properties calculated at the PBE level.

Values from the calculation:
- symmetry = Pmm2, No. 25
- DOS at the Fermi energy (states/eV/f.u.) = 0.9
- ΔH_f (0 K) (eV/atom) = 0.064
- calculated total energy (eV/cell) = -10.1

Lattice parameters (Å, degrees): 2.858 3.510 5.785 90.00 90.00 90.00
Positions (direct):
Ag (0.000, 0.000, 0.533)
Be (0.500, 0.500, 0.723)
Li (0.000, 0.000, 0.979)
Li (0.500, 0.500, 0.264)

No. 10
Below is a relaxed structure of PuZr2Os, with properties calculated at the PBE level.

Values from the calculation:
- symmetry = Fm-3m, No. 225
- DOS at the Fermi energy (states/eV/f.u.) = 11.8
- ΔH_f (0 K) (eV/atom) = 0.019
- calculated total energy (eV/cell) = -42.6

Lattice parameters (Å, degrees): 4.825 4.825 4.825 60.00 60.00 60.00
Positions (direct):
Os (0.500, 0.500, 0.500)
Zr (0.250, 0.250, 0.250)
Zr (0.750, 0.750, 0.750)
Pu (0.000, 0.000, 0.000)

No. 11
Below is a relaxed structure of TiTcB2, with properties calculated at the PBE level.

Values from the calculation:
- symmetry = I-42d, No. 122
- DOS at the Fermi energy (states/eV/f.u.) = 5.1
- ΔH_f (0 K) (eV/atom) = 0.545
- calculated total energy (eV/cell) = -58.9

Lattice parameters (Å, degrees): 4.761 4.761 6.053 66.85 66.85 90.00
Positions (direct):
B (0.661, 0.125, 0.250)
B (0.089, 0.625, 0.250)
B (0.375, 0.339, 0.750)
B (0.875, 0.911, 0.750)
Tc (0.000, 0.000, 0.000)
Tc (0.750, 0.250, 0.500)
Ti (0.500, 0.500, 0.000)
Ti (0.250, 0.750, 0.500)

No. 12
Below is a relaxed structure of SmDyEr6, with properties calculated at the PBE level.

Values from the calculation:
- symmetry = C2/m, No. 12
- DOS at the Fermi energy (states/eV/f.u.) = 11.6
- ΔH_f (0 K) (eV/atom) = 0.375
- calculated total energy (eV/cell) = -33.7

Lattice parameters (Å, degrees): 6.026 6.026 9.301 86.90 116.98 112.53
Positions (direct):
Sm (0.000, 0.000, 0.000)
Dy (0.500, 0.000, 0.500)
Er (0.362, 0.456, 0.300)
Er (0.844, 0.938, 0.300)
Er (0.156, 0.062, 0.700)
Er (0.638, 0.544, 0.700)
Er (0.702, 0.374, 0.075)
Er (0.298, 0.626, 0.925)

Number 1: ρ 13.95 g/cm³. Number 2: ρ 6.85 g/cm³. Number 3: ρ 4.76 g/cm³. Number 4: ρ 10.14 g/cm³. Number 5: ρ 7.77 g/cm³. Number 6: ρ 4.76 g/cm³. Number 7: ρ 9.54 g/cm³. Number 8: ρ 2.01 g/cm³. Number 9: ρ 3.74 g/cm³. Number 10: ρ 12.89 g/cm³. Number 11: ρ 4.88 g/cm³. Number 12: ρ 7.95 g/cm³.